[1]
Entry from Alexandria: YBrOF2 after structural relaxation (GGA-PBE).

Unit cell a=4.309 b=4.309 c=4.796 alpha=90.00 beta=90.00 gamma=90.00
Space group P4/mmm (No. 123)
Asymmetric unit:
Y1 0.000 0.000 0.000 x1
Br1 0.500 0.500 0.500 x1
O1 0.000 0.000 0.500 x1
F1 0.000 0.500 0.000 x2

Computed properties:
- Crystal system: tetragonal
- ΔE_f (raw): -2.300 eV/atom
- Distance to the lowest polymorph of the same formula: 0 meV/atom
- Calculated total energy: -28.34 eV per formula unit
- V: 17.81 A^3/atom

***

[2]
Entry from Alexandria: YBrOF2 after structural relaxation (GGA-PBE).

Unit cell a=4.972 b=4.972 c=3.723 alpha=90.00 beta=90.00 gamma=90.00
Space group P4/mmm (No. 123)
Asymmetric unit:
Y1 0.000 0.000 0.000 x1
Br1 0.500 0.500 0.500 x1
O1 0.500 0.500 0.000 x1
F1 0.000 0.500 0.500 x2

Computed properties:
- Crystal system: tetragonal
- ΔE_f (raw): -0.844 eV/atom
- Distance to the lowest polymorph of the same formula: 1456 meV/atom
- Calculated total energy: -21.06 eV per formula unit
- V: 18.40 A^3/atom

***

[3]
Entry from Alexandria: ZnBrO2F after structural relaxation (GGA-PBE).

Unit cell a=4.036 b=4.036 c=3.881 alpha=90.00 beta=90.00 gamma=90.00
Space group P4/mmm (No. 123)
Asymmetric unit:
Zn1 0.000 0.000 0.000 x1
Br1 0.500 0.500 0.500 x1
O1 0.000 0.500 0.000 x2
F1 0.000 0.000 0.500 x1

Computed properties:
- Crystal system: tetragonal
- ΔE_f (raw): -0.121 eV/atom
- Calculated total energy: -15.34 eV per formula unit
- V: 12.65 A^3/atom

***

[4]
Entry from Alexandria: ZnBrOF2 after structural relaxation (GGA-PBE).

Unit cell a=3.708 b=3.708 c=5.461 alpha=90.00 beta=90.00 gamma=90.00
Space group P4/mmm (No. 123)
Asymmetric unit:
Zn1 0.000 0.000 0.000 x1
Br1 0.500 0.500 0.500 x1
O1 0.000 0.000 0.500 x1
F1 0.000 0.500 0.000 x2

Computed properties:
- Crystal system: tetragonal
- ΔE_f (raw): -0.740 eV/atom
- Distance to the lowest polymorph of the same formula: 0 meV/atom
- Calculated total energy: -15.35 eV per formula unit
- V: 15.01 A^3/atom

***

[5]
Entry from Alexandria: ZnBrOF2 after structural relaxation (GGA-PBE).

Unit cell a=4.526 b=4.526 c=4.019 alpha=90.00 beta=90.00 gamma=90.00
Space group P4/mmm (No. 123)
Asymmetric unit:
Zn1 0.000 0.000 0.000 x1
Br1 0.500 0.500 0.500 x1
O1 0.500 0.500 0.000 x1
F1 0.000 0.500 0.500 x2

Computed properties:
- Crystal system: tetragonal
- ΔE_f (raw): -0.073 eV/atom
- Distance to the lowest polymorph of the same formula: 667 meV/atom
- Calculated total energy: -12.01 eV per formula unit
- V: 16.47 A^3/atom

***

[6]
Entry from Alexandria: ZnBrO2F after structural relaxation (GGA-PBE).

Unit cell a=3.771 b=3.771 c=5.506 alpha=90.00 beta=90.00 gamma=90.00
Space group P4/mmm (No. 123)
Asymmetric unit:
Zn1 0.000 0.000 0.000 x1
Br1 0.500 0.500 0.500 x1
O1 0.000 0.500 0.500 x2
F1 0.500 0.500 0.000 x1

Computed properties:
- Crystal system: tetragonal
- ΔE_f (raw): 0.164 eV/atom
- Calculated total energy: -13.91 eV per formula unit
- V: 15.66 A^3/atom

***

[7]
Entry from Alexandria: Os2BrF after structural relaxation (GGA-PBE).

Unit cell a=6.078 b=6.078 c=6.078 alpha=90.00 beta=90.00 gamma=90.00
Space group Fm-3m (No. 225)
Asymmetric unit:
Os1 0.250 0.250 0.250 x8
Br1 0.000 0.000 0.000 x4
F1 0.000 0.000 0.500 x4

Computed properties:
- Crystal system: cubic
- ΔE_f (raw): 1.358 eV/atom
- Distance to the lowest polymorph of the same formula: 7 meV/atom
- Calculated total energy: -20.57 eV per formula unit
- V: 14.03 A^3/atom

***

[8]
Entry from Alexandria: OsBr5F after structural relaxation (GGA-PBE).

Unit cell a=13.454 b=10.745 c=7.196 alpha=90.00 beta=104.14 gamma=90.00
Space group C2/c (No. 15)
Asymmetric unit:
Os1 0.000 0.000 0.000 x4
Br1 0.000 0.168 0.250 x4
Br2 0.088 0.497 0.518 x8
Br3 0.186 0.000 0.090 x8
F1 0.000 0.100 0.750 x4

Computed properties:
- Crystal system: monoclinic
- ΔE_f (raw): -0.219 eV/atom
- Calculated total energy: -23.00 eV per formula unit
- V: 36.03 A^3/atom

***

[9]
Entry from Alexandria: Os3BrF after structural relaxation (GGA-PBE).

Unit cell a=4.606 b=4.606 c=4.606 alpha=90.00 beta=90.00 gamma=90.00
Space group Pm-3m (No. 221)
Asymmetric unit:
Os1 0.000 0.000 0.500 x3
Br1 0.000 0.000 0.000 x1
F1 0.500 0.500 0.500 x1

Computed properties:
- Crystal system: cubic
- ΔE_f (raw): 2.598 eV/atom
- Calculated total energy: -24.24 eV per formula unit
- V: 19.54 A^3/atom

***

[10]
Entry from Alexandria: Os2BrF after structural relaxation (GGA-PBE).

Unit cell a=6.873 b=6.873 c=5.148 alpha=90.00 beta=90.00 gamma=90.00
Space group I-42d (No. 122)
Asymmetric unit:
Os1 0.203 0.250 0.125 x8
Br1 0.000 0.000 0.500 x4
F1 0.000 0.000 0.000 x4

Computed properties:
- Crystal system: tetragonal
- ΔE_f (raw): 1.351 eV/atom
- Distance to the lowest polymorph of the same formula: 0 meV/atom
- Calculated total energy: -20.60 eV per formula unit
- V: 15.20 A^3/atom

***

[11]
Entry from Alexandria: OsBrF6 after structural relaxation (GGA-PBE).

Unit cell a=9.881 b=5.847 c=5.581 alpha=90.00 beta=111.95 gamma=90.00
Space group C2/m (No. 12)
Asymmetric unit:
Os1 0.000 0.000 0.000 x2
Br1 0.000 0.500 0.500 x2
F1 0.114 0.000 0.797 x4
F2 0.118 0.230 0.216 x8

Computed properties:
- Crystal system: monoclinic
- ΔE_f (raw): -1.376 eV/atom
- Calculated total energy: -35.14 eV per formula unit
- V: 18.69 A^3/atom

***

[12]
Entry from Alexandria: OsBr4F4 after structural relaxation (GGA-PBE).

Unit cell a=5.396 b=9.630 c=10.078 alpha=80.33 beta=87.82 gamma=79.79
Space group P-1 (No. 2)
Asymmetric unit:
Os1 0.221 0.245 0.257 x2
Br1 0.090 0.670 0.585 x2
Br2 0.134 0.248 0.855 x2
Br3 0.307 0.183 0.658 x2
Br4 0.418 0.454 0.235 x2
F1 0.010 0.324 0.105 x2
F2 0.081 0.074 0.270 x2
F3 0.438 0.150 0.404 x2
F4 0.469 0.165 0.138 x2

Computed properties:
- Crystal system: triclinic
- ΔE_f (raw): -0.902 eV/atom
- Calculated total energy: -33.52 eV per formula unit
- V: 28.22 A^3/atom

***

Question: ΔE_f (raw) of number 9 (Os3BrF)?
Answer: 2.598 eV/atom

***

Question: ΔE_f (raw) of number 6 (ZnBrO2F)?
Answer: 0.164 eV/atom

***

Question: What is the formula in the tenth record?
Answer: Os2BrF

***

Question: calculated total energy of number 2 (YBrOF2)?
Answer: -21.06 eV per formula unit